Entry 1:
A plane-wave DFT calculation with GGA-PBEsol was carried out for a geometry-optimized LiCrCu structure.

Cell lengths 2.3525, 2.3525, 6.6085 Å; angles 100.25, 100.25, 90.00 degrees
Positions (direct):
1 Cr 0.0080 0.0080 0.0159
2 Cu 0.6645 0.6645 0.3289
3 Li 0.3276 0.3276 0.6551

Properties
Total magnetization ... 0.00 μB per formula unit
DFT total energy ... -5.163 eV per atom
DOS at the Fermi energy ... 0.7306 states/eV/atom

***

Entry 2:
A plane-wave DFT calculation with GGA-PBEsol was carried out for a geometry-optimized BaZrSc3 structure.

Cell lengths 5.3584, 5.3584, 5.3584 Å; angles 90.00, 90.00, 90.00 degrees
Positions (direct):
1 Sc 0.0000 0.5000 0.0000
2 Sc 0.0000 0.0000 0.5000
3 Sc 0.5000 0.0000 0.0000
4 Ba 0.5000 0.5000 0.5000
5 Zr 0.0000 0.0000 0.0000

Properties
Total magnetization ... 0.00 μB per formula unit
DFT total energy ... -5.696 eV per atom
DOS at the Fermi energy ... 1.5190 states/eV/atom

***

Entry 3:
A plane-wave DFT calculation with GGA-PBEsol was carried out for a geometry-optimized CdMoRu2 structure.

Cell lengths 2.7217, 2.7217, 9.0510 Å; angles 90.00, 90.00, 114.35 degrees
Positions (direct):
1 Cd 0.5000 0.5000 0.5000
2 Mo 0.5000 0.5000 0.0000
3 Ru 0.0000 0.0000 0.2329
4 Ru 0.0000 0.0000 0.7671

Properties
Total magnetization ... 0.00 μB per formula unit
DFT total energy ... -7.996 eV per atom
DOS at the Fermi energy ... 1.0733 states/eV/atom

***

Entry 4:
A plane-wave DFT calculation with GGA-PBEsol was carried out for a geometry-optimized KGaRu2C structure.

Cell lengths 3.9253, 4.7566, 4.7566 Å; angles 90.00, 90.00, 90.00 degrees
Last column: magnetic moment on the atom in μB.
Positions (direct):
1 Ru 0.0000 0.0000 0.5000  1.02
2 Ru 0.0000 0.5000 0.0000  1.02
3 K 0.5000 0.5000 0.5000  0.01
4 C 0.5000 0.0000 0.0000  -0.04
5 Ga 0.0000 0.0000 0.0000  -0.02

Properties
Total magnetization ... 2.12 μB per formula unit
DFT total energy ... -4.853 eV per atom
DOS at the Fermi energy ... 1.4833 states/eV/atom

***

Entry 5:
A plane-wave DFT calculation with GGA-PBEsol was carried out for a geometry-optimized Ag2RuSeCl structure.

Cell lengths 4.3515, 4.7743, 4.7743 Å; angles 90.00, 90.00, 90.00 degrees
Last column: magnetic moment on the atom in μB.
Positions (direct):
1 Ru 0.5000 0.0000 0.0000  0.41
2 Se 0.5000 0.5000 0.5000  0.01
3 Ag 0.0000 0.0000 0.5000  0.00
4 Ag 0.0000 0.5000 0.0000  0.00
5 Cl 0.0000 0.0000 0.0000  0.03

Properties
Total magnetization ... 0.50 μB per formula unit
DFT total energy ... -3.612 eV per atom
DOS at the Fermi energy ... 0.8996 states/eV/atom

***

Entry 6:
A plane-wave DFT calculation with GGA-PBEsol was carried out for a geometry-optimized Mn2C structure.

Cell lengths 2.6129, 2.6129, 4.9524 Å; angles 90.00, 90.00, 120.00 degrees
Last column: magnetic moment on the atom in μB.
Positions (direct):
1 C 0.0000 0.0000 0.5000  -0.11
2 Mn 0.3333 0.6667 0.7537  1.85
3 Mn 0.3333 0.6667 0.2463  1.85

Properties
Total magnetization ... 3.70 μB per formula unit
DFT total energy ... -9.372 eV per atom
DOS at the Fermi energy ... 0.6091 states/eV/atom